! V2GaHRu PBE-GGA optimized geometry; values from VASP
! excess energy over the best structure of this formula in the dataset: 0.452 eV per formula unit
! SG: P4/mmm
&SYSTEM
  ibrav = 0, nat = 5, ntyp = 4
/
ATOMIC_SPECIES
V 50.94 V.upf
Ga 69.72 Ga.upf
H 1.01 H.upf
Ru 101.07 Ru.upf
CELL_PARAMETERS angstrom
3.684 0.000 0.000
0.000 3.684 0.000
0.000 0.000 4.222
ATOMIC_POSITIONS angstrom
V 0.000 1.842 0.000
V 1.842 0.000 0.000
Ga 0.000 0.000 2.111
H 0.000 0.000 0.000
Ru 1.842 1.842 2.111


! LuZrCuPt PBE-GGA optimized geometry; values from VASP
! SG: F-43m
! formation enthalpy at 0 K: -644 meV/atom
&SYSTEM
  ibrav = 0, nat = 4, ntyp = 4
/
ATOMIC_SPECIES
Lu 174.97 Lu.upf
Zr 91.22 Zr.upf
Cu 63.55 Cu.upf
Pt 195.08 Pt.upf
CELL_PARAMETERS angstrom
0.000 3.365 3.365
3.365 0.000 3.365
3.365 3.365 0.000
ATOMIC_POSITIONS angstrom
Lu 0.000 0.000 0.000
Zr 3.365 3.365 3.365
Cu 5.047 5.047 5.047
Pt 1.682 1.682 1.682


! Mg6SnBi3 PBE-GGA optimized geometry; values from VASP
! excess energy over the best structure of this formula in the dataset: 0.000 eV per formula unit
! SG: P2_1/c
! formation enthalpy at 0 K: -103 meV/atom
&SYSTEM
  ibrav = 0, nat = 20, ntyp = 3
/
ATOMIC_SPECIES
Mg 24.30 Mg.upf
Sn 118.71 Sn.upf
Bi 208.98 Bi.upf
CELL_PARAMETERS angstrom
5.139 0.000 0.000
0.000 8.050 0.000
-2.977 0.000 13.904
ATOMIC_POSITIONS angstrom
Mg -0.041 1.239 0.993
Mg -1.530 2.786 7.944
Mg 0.108 4.628 3.087
Mg -1.381 7.447 10.039
Mg 1.061 1.312 5.799
Mg -0.428 2.713 12.751
Mg 2.590 5.337 1.153
Mg 1.102 6.737 8.105
Mg 3.543 0.603 3.865
Mg 2.054 3.422 10.817
Mg 3.692 5.264 5.959
Mg 2.204 6.811 12.911
Sn 2.570 0.000 0.000
Sn 1.081 4.025 6.952
Bi -1.489 0.000 6.952
Bi 0.000 4.025 0.000
Bi -0.517 4.598 10.114
Bi 0.971 7.476 3.162
Bi 1.191 0.573 10.741
Bi 2.679 3.451 3.790


! Ho2InSi2Ru5 PBE-GGA optimized geometry; values from VASP
! formation energy from raw total energies: -5.92 eV/f.u.
! SG: P4/mbm
&SYSTEM
  ibrav = 0, nat = 20, ntyp = 4
/
ATOMIC_SPECIES
Ho 164.93 Ho.upf
In 114.82 In.upf
Si 28.09 Si.upf
Ru 101.07 Ru.upf
CELL_PARAMETERS angstrom
10.062 0.000 0.000
0.000 10.062 0.000
0.000 0.000 3.290
ATOMIC_POSITIONS angstrom
Ho 1.749 3.282 0.000
Ho 3.282 8.313 0.000
Ho 6.780 1.749 0.000
Ho 8.313 6.780 0.000
In 0.000 0.000 0.000
In 5.031 5.031 0.000
Si 1.263 6.295 0.000
Si 3.768 1.263 0.000
Si 6.295 8.799 0.000
Si 8.799 3.768 0.000
Ru 0.000 5.031 1.645
Ru 0.694 7.903 1.645
Ru 2.159 0.694 1.645
Ru 2.872 5.725 1.645
Ru 4.337 2.872 1.645
Ru 5.031 0.000 1.645
Ru 5.725 7.190 1.645
Ru 7.190 4.337 1.645
Ru 7.903 9.368 1.645
Ru 9.368 2.159 1.645


! KCdIr PBE-GGA optimized geometry; values from VASP
! excess energy over the best structure of this formula in the dataset: 0.460 eV per formula unit
! SG: I4mm
! formation enthalpy at 0 K: 535 meV/atom
&SYSTEM
  ibrav = 0, nat = 3, ntyp = 3
/
ATOMIC_SPECIES
K 39.10 K.upf
Cd 112.41 Cd.upf
Ir 192.22 Ir.upf
CELL_PARAMETERS angstrom
-1.509 1.509 7.542
1.509 -1.509 7.542
1.509 1.509 -7.542
ATOMIC_POSITIONS angstrom
K 0.000 0.000 0.000
Cd 0.000 0.000 4.366
Ir 0.000 0.000 10.040


! Ac6InSb2Te3 PBE-GGA optimized geometry; values from VASP
! formation energy from raw total energies: -14.83 eV/f.u.
! SG: C2/m
&SYSTEM
  ibrav = 0, nat = 12, ntyp = 4
/
ATOMIC_SPECIES
Ac 227.00 Ac.upf
In 114.82 In.upf
Sb 121.76 Sb.upf
Te 127.60 Te.upf
CELL_PARAMETERS angstrom
10.441 -2.372 0.000
10.441 2.372 0.000
-2.170 0.000 9.406
ATOMIC_POSITIONS angstrom
Ac -0.496 0.000 2.302
Ac 6.001 0.000 3.971
Ac 5.046 0.000 8.586
Ac 13.664 0.000 0.819
Ac 12.710 0.000 5.435
Ac 19.207 0.000 7.103
In 10.441 0.000 0.000
Sb 2.770 0.000 3.152
Sb 15.940 0.000 6.254
Te 1.712 0.000 7.827
Te 9.355 0.000 4.703
Te 16.999 0.000 1.579


! La3Zn4Sn2 PBE-GGA optimized geometry; values from VASP
! SG: C2/m
! formation enthalpy at 0 K: -552 meV/atom
&SYSTEM
  ibrav = 0, nat = 9, ntyp = 3
/
ATOMIC_SPECIES
La 138.91 La.upf
Zn 65.41 Zn.upf
Sn 118.71 Sn.upf
CELL_PARAMETERS angstrom
5.788 -2.317 0.000
5.788 2.317 0.000
-2.727 0.000 8.538
ATOMIC_POSITIONS angstrom
La 0.000 0.000 0.000
La 2.922 0.000 2.845
La 5.927 0.000 5.693
Zn -0.726 0.000 3.154
Zn 0.403 0.000 7.990
Zn 8.447 0.000 0.548
Zn 9.576 0.000 5.383
Sn 2.514 0.000 6.177
Sn 6.335 0.000 2.361


! PmAgSbIr PBE-GGA optimized geometry; values from VASP
! formation energy from raw total energies: -1.33 eV/f.u.
! SG: F-43m
&SYSTEM
  ibrav = 0, nat = 4, ntyp = 4
/
ATOMIC_SPECIES
Pm 145.00 Pm.upf
Ag 107.87 Ag.upf
Sb 121.76 Sb.upf
Ir 192.22 Ir.upf
CELL_PARAMETERS angstrom
0.000 3.481 3.481
3.481 0.000 3.481
3.481 3.481 0.000
ATOMIC_POSITIONS angstrom
Pm 0.000 0.000 0.000
Ag 5.221 5.221 5.221
Sb 3.481 3.481 3.481
Ir 1.740 1.740 1.740


| no. | magnetization (Bohr magnetons per cell) |
| --- | --- |
| 1 | 0.000 |
| 2 | 0.061 |
| 3 | 0.000 |
| 4 | 0.000 |
| 5 | 0.000 |
| 6 | 0.000 |
| 7 | 0.000 |
| 8 | 0.000 |